A geometry-optimized ZnS2ICl structure. Source: the Alexandria database, functional PBE.

Output
E_form (uncorrected) = 0.6689 eV per atom
Calculated volume = 28.58 A^3/atom
Energy relative to the lowest polymorph listed for this composition = 0.3763 eV per atom
Total moment = 0.0 μB/cell

a b c (Å): 5.1319 5.1319 5.4254
angles (deg): 90.00 90.00 90.00
Closest atoms and distances in Å follow each position.
Fractional coordinates of all 5 atoms:
1 Zn 0.0000 0.0000 0.0000  4 Cl 3.63, 8 S 3.73
2 S 0.0000 0.5000 0.5000  2 I 2.57
3 S 0.5000 0.0000 0.5000  2 I 2.57
4 I 0.5000 0.5000 0.5000  4 S 2.57, 2 Cl 2.71
5 Cl 0.5000 0.5000 0.0000  2 I 2.71